Record 1
The following is a PBE calculation of an optimized crystal structure of CaTl2Hg, from Alexandria.

Unit cell a=4.590 b=4.590 c=12.081 alpha=79.05 beta=79.05 gamma=90.00
Sites, in units of the cell vectors:
Tl: 0.631 0.125 0.250
Tl: 0.119 0.625 0.250
Tl: 0.375 0.369 0.750
Tl: 0.875 0.881 0.750
Ca: 0.500 0.500 0.000
Ca: 0.250 0.750 0.500
Hg: 0.000 0.000 0.000
Hg: 0.750 0.250 0.500

Formation enthalpy at 0 K ... -0.17 eV per atom
ρ ... 8.797 Mg/m³
Magnetic moment ... 0.00 μB/cell


Record 2
The following is a PBE calculation of an optimized crystal structure of Ca3Tl12Hg, from Alexandria.

Unit cell a=4.829 b=4.829 c=19.977 alpha=90.00 beta=90.00 gamma=90.00
Sites, in units of the cell vectors:
Ca: 0.000 0.000 0.255
Ca: 0.000 0.000 0.500
Ca: 0.000 0.000 0.745
Tl: 0.500 0.500 0.000
Tl: 0.500 0.500 0.256
Tl: 0.500 0.500 0.500
Tl: 0.500 0.500 0.744
Tl: 0.500 0.000 0.127
Tl: 0.500 0.000 0.377
Tl: 0.500 0.000 0.623
Tl: 0.500 0.000 0.873
Tl: 0.000 0.500 0.127
Tl: 0.000 0.500 0.377
Tl: 0.000 0.500 0.623
Tl: 0.000 0.500 0.873
Hg: 0.000 0.000 0.000

Formation enthalpy at 0 K ... -0.15 eV per atom
ρ ... 9.885 Mg/m³
Magnetic moment ... 0.00 μB/cell


Record 3
The following is a PBE calculation of an optimized crystal structure of Ca2Tl2Hg, from Alexandria.

Unit cell a=8.699 b=8.699 c=4.127 alpha=90.00 beta=90.00 gamma=90.00
Sites, in units of the cell vectors:
Tl: 0.137 0.637 0.500
Tl: 0.637 0.863 0.500
Tl: 0.863 0.363 0.500
Tl: 0.363 0.137 0.500
Ca: 0.337 0.837 0.000
Ca: 0.837 0.663 0.000
Ca: 0.663 0.163 0.000
Ca: 0.163 0.337 0.000
Hg: 0.000 0.000 0.000
Hg: 0.500 0.500 0.000

Distance to the lowest polymorph of the same formula ... 0.100 eV per atom
Formation enthalpy at 0 K ... -0.27 eV per atom
ρ ... 7.333 Mg/m³
Magnetic moment ... 0.00 μB/cell